Record 1
Below is a geometry-optimized BaAc5 structure, with properties calculated at the PBE-GGA level.

ΔH_f (0 K)   20.6 kJ/mol of formula units
Energy above the most stable polymorph in this dataset   0 meV/atom

Cell and atoms, written as extended XYZ:
```
6
Lattice="4.0245 0.0000 0.0000 0.0000 4.0245 0.0000 0.0000 0.0000 17.4889" Properties=species:S:1:pos:R:3 pbc="T T T"
Ba 2.0122 2.0122 0.0000
Ac 0.0000 0.0000 14.2932
Ac 0.0000 0.0000 3.1958
Ac 2.0122 2.0122 11.5757
Ac 2.0122 2.0122 5.9132
Ac 0.0000 0.0000 8.7445
```

=====

Record 2
Below is a geometry-optimized BaAc structure, with properties calculated at the PBE-GGA level.

ΔH_f (0 K)   27.0 kJ/mol of formula units
Energy above the most stable polymorph in this dataset   58 meV/atom

Cell and atoms, written as extended XYZ:
```
4
Lattice="6.5943 0.0001 0.7932 3.2495 5.7380 0.7932 2.6354 1.5362 5.8984" Properties=species:S:1:pos:R:3 pbc="T T T"
Ba 5.9972 3.4959 5.7579
Ba 6.4820 3.7785 1.7268
Ac 2.8772 1.6772 3.8878
Ac 9.6020 5.5972 3.5969
```

=====

Record 3
Below is a geometry-optimized BaAc3 structure, with properties calculated at the PBE-GGA level.

ΔH_f (0 K)   32.4 kJ/mol of formula units

Cell and atoms, written as extended XYZ:
```
4
Lattice="-1.1979 2.2775 -3.1714 -6.0022 1.7197 3.5022 6.6296 3.2418 2.4536" Properties=species:S:1:pos:R:3 pbc="T T T"
Ac -0.5269 3.1119 2.4338
Ac -3.6148 2.0028 0.1740
Ac 1.9677 3.5507 -0.8231
Ba -5.9981 1.7185 3.4997
```

=====

Record 4
Below is a geometry-optimized BaAc11 structure, with properties calculated at the PBE-GGA level.

ΔH_f (0 K)   54.7 kJ/mol of formula units

Cell and atoms, written as extended XYZ:
```
12
Lattice="-0.5425 3.5311 1.7369 -2.0128 -5.8209 11.2052 11.8366 3.4737 -3.3646" Properties=species:S:1:pos:R:3 pbc="T T T"
Ba 0.0000 0.0000 0.0000
Ac -1.0064 -2.9105 5.6026
Ac 5.9183 1.7368 -1.6823
Ac 4.9119 -1.1736 3.9203
Ac 3.6137 1.9676 1.6712
Ac 1.1297 0.3005 4.2844
Ac 0.1999 -2.3884 9.4604
Ac 9.0813 3.5722 0.1171
Ac 8.1515 0.8833 5.2931
Ac 5.6676 -0.7838 7.9062
Ac 2.6036 -2.7227 6.3486
Ac 7.2201 0.3755 1.4920
```

=====

Record 5
Below is a geometry-optimized Ba3Ac structure, with properties calculated at the PBE-GGA level.

ΔH_f (0 K)   26.1 kJ/mol of formula units
Energy above the most stable polymorph in this dataset   0 meV/atom

Cell and atoms, written as extended XYZ:
```
4
Lattice="-3.2750 -2.1687 1.7151 0.6752 -3.8299 1.8019 1.5017 4.2835 13.6395" Properties=species:S:1:pos:R:3 pbc="T T T"
Ba -0.7934 -1.2062 13.0263
Ba -0.5491 -0.8576 8.5782
Ba -0.3047 -0.5089 4.1301
Ac 0.0000 0.0000 0.0000
```

=====

Record 6
Below is a geometry-optimized BaAc4 structure, with properties calculated at the PBE-GGA level.

ΔH_f (0 K)   342.8 kJ/mol of formula units

Cell and atoms, written as extended XYZ:
```
5
Lattice="6.3656 0.0000 0.0000 0.0000 6.3656 0.0000 0.0000 0.0000 6.3656" Properties=species:S:1:pos:R:3 pbc="T T T"
Ac 0.0000 0.0000 0.0000
Ac 3.1828 0.0000 3.1828
Ac 0.0000 3.1828 3.1828
Ac 3.1828 3.1828 0.0000
Ba 3.1828 3.1828 3.1828
```

=====

Record 7
Below is a geometry-optimized Ba3Ac structure, with properties calculated at the PBE-GGA level.

ΔH_f (0 K)   33.9 kJ/mol of formula units
Energy above the most stable polymorph in this dataset   20 meV/atom

Cell and atoms, written as extended XYZ:
```
4
Lattice="4.2642 0.0000 0.0000 0.0000 7.5013 0.0000 -2.1321 -3.7506 7.0165" Properties=species:S:1:pos:R:3 pbc="T T T"
Ac 0.0000 0.0077 0.0000
Ba 0.0000 2.5003 3.6035
Ba 2.1321 3.7431 0.0000
Ba 2.1321 -1.2503 3.4130
```

=====

Record 8
Below is a geometry-optimized BaAc3 structure, with properties calculated at the PBE-GGA level.

ΔH_f (0 K)   67.5 kJ/mol of formula units

Cell and atoms, written as extended XYZ:
```
4
Lattice="-6.0579 -1.1476 2.0461 -4.4245 -2.3771 -4.1201 -2.1021 -6.1111 0.6617" Properties=species:S:1:pos:R:3 pbc="T T T"
Ac 0.0000 0.0000 0.0000
Ac -9.4383 -7.2268 -1.0592
Ac -3.1461 -2.4089 -0.3531
Ba -6.2922 -4.8179 -0.7061
```

=====

Record 9
Below is a geometry-optimized Ba3Ac structure, with properties calculated at the PBE-GGA level.

ΔH_f (0 K)   38.5 kJ/mol of formula units
Energy above the most stable polymorph in this dataset   32 meV/atom

Cell and atoms, written as extended XYZ:
```
8
Lattice="4.3269 -7.4944 0.0000 4.3269 7.4944 0.0000 0.0000 0.0000 6.9513" Properties=species:S:1:pos:R:3 pbc="T T T"
Ba 2.2150 1.2788 1.7378
Ba 6.4388 1.2788 1.7378
Ba 4.3269 4.9368 1.7378
Ba 6.4388 -1.2788 5.2135
Ba 2.2150 -1.2788 5.2135
Ba 4.3269 -4.9368 5.2135
Ac 4.3269 2.4981 5.2135
Ac 4.3269 -2.4981 1.7378
```

=====

Record 10
Below is a geometry-optimized Ba2Ac structure, with properties calculated at the PBE-GGA level.

ΔH_f (0 K)   22.8 kJ/mol of formula units
Energy above the most stable polymorph in this dataset   0 meV/atom

Cell and atoms, written as extended XYZ:
```
3
Lattice="-1.7439 3.7308 -0.8105 -0.1081 -0.9389 -4.0895 -7.5219 -5.1110 3.5262" Properties=species:S:1:pos:R:3 pbc="T T T"
Ac 0.0000 0.0000 0.0000
Ba -3.6052 0.2178 -2.1087
Ba -5.7688 -2.5368 0.7349
```

=====

Record 11
Below is a geometry-optimized BaAc3 structure, with properties calculated at the PBE-GGA level.

ΔH_f (0 K)   38.4 kJ/mol of formula units

Cell and atoms, written as extended XYZ:
```
8
Lattice="-2.3597 -0.2495 6.1301 -5.1970 -5.9815 -2.2440 7.5031 -1.9042 2.8107" Properties=species:S:1:pos:R:3 pbc="T T T"
Ac -4.9029 -5.5060 3.1750
Ac -2.2395 -2.4406 4.3250
Ac -1.0577 -6.4819 4.6154
Ac 4.8494 -2.6291 3.5218
Ac 2.1860 -5.6945 2.3718
Ac 1.0041 -1.6533 2.0814
Ba -1.5536 -4.6848 0.9735
Ba 1.5000 -3.4504 5.7234
```

=====

Record 12
Below is a geometry-optimized Ba2Ac7 structure, with properties calculated at the PBE-GGA level.

ΔH_f (0 K)   54.5 kJ/mol of formula units

Cell and atoms, written as extended XYZ:
```
9
Lattice="7.0372 0.0000 0.0000 -3.5186 6.0944 0.0000 0.0000 0.0000 9.9750" Properties=species:S:1:pos:R:3 pbc="T T T"
Ba 0.0000 4.0629 0.0000
Ba 3.5186 2.0314 0.0000
Ac 0.0000 0.0000 0.0000
Ac 4.7386 0.0000 3.4051
Ac -2.3693 4.1037 3.4051
Ac 1.1493 1.9906 3.4051
Ac -1.1493 1.9906 6.5698
Ac 2.2986 0.0000 6.5698
Ac 2.3693 4.1037 6.5698
```